Entry 1:
Below is Li2Hg4Pd after structural relaxation, with properties calculated at the PBE level.

Cell and atoms, written as CIF:
```
data_Li2Hg4Pd
_chemical_formula_sum 'Li2 Hg4 Pd1'
_cell_length_a 5.740
_cell_length_b 5.740
_cell_length_c 5.740
_cell_angle_alpha 100.62
_cell_angle_beta 114.07
_cell_angle_gamma 114.07
_symmetry_space_group_name_H-M 'P 1'
_symmetry_Int_Tables_number 1
_symmetry_space_group_name_Hall 'P 1'
loop_
_atom_site_label
_atom_site_type_symbol
_atom_site_fract_x
_atom_site_fract_y
_atom_site_fract_z
_atom_site_occupancy
Li1 Li 0.500 0.500 0.000 1
Li2 Li 0.500 0.000 0.500 1
Hg1 Hg 0.500 0.000 0.000 1
Hg2 Hg 0.500 0.500 0.500 1
Hg3 Hg 0.000 0.500 0.000 1
Hg4 Hg 0.000 0.000 0.500 1
Pd1 Pd 0.000 0.000 0.000 1
```

Properties
Offset from the most stable computed form   0 meV per atom
E_form   -0.249 eV/atom
Uncorrected energy   -1.710 eV/atom
SG   No. 139


Entry 2:
Below is Be6ZnIr5 after structural relaxation, with properties calculated at the PBE level.

Cell and atoms, written as CIF:
```
data_Be6ZnIr5
_chemical_formula_sum 'Be6 Zn1 Ir5'
_cell_length_a 3.953
_cell_length_b 5.711
_cell_length_c 6.815
_cell_angle_alpha 114.77
_cell_angle_beta 106.86
_cell_angle_gamma 90.00
_symmetry_space_group_name_H-M 'P 1'
_symmetry_Int_Tables_number 1
_symmetry_space_group_name_Hall 'P 1'
loop_
_atom_site_label
_atom_site_type_symbol
_atom_site_fract_x
_atom_site_fract_y
_atom_site_fract_z
_atom_site_occupancy
Be1 Be 0.175 0.440 0.351 1
Be2 Be 0.825 0.560 0.649 1
Be3 Be 0.500 0.281 0.000 1
Be4 Be 0.500 0.719 0.000 1
Be5 Be 0.825 0.090 0.649 1
Be6 Be 0.175 0.910 0.351 1
Ir1 Ir 0.000 0.500 0.000 1
Ir2 Ir 0.331 0.331 0.661 1
Ir3 Ir 0.652 0.152 0.303 1
Ir4 Ir 0.348 0.848 0.697 1
Ir5 Ir 0.669 0.669 0.339 1
Zn1 Zn 0.000 0.000 0.000 1
```

Properties
E_form   -0.559 eV/atom
Uncorrected energy   -6.220 eV/atom
SG   No. 71


Which value of uncorrected energy does entry 1 give?
-1.710 eV/atom